Record 1
Computed, not measured: a relaxed structure of Ba2Cr at the PBE level of DFT.

The structure belongs to space group P6_3/mmc (No. 194); the cell edges are 6.1677, 6.1677 and 7.8053 Å and the angles 90.00°, 90.00° and 120.00°. The asymmetric unit holds Ba at (0.0000, 0.0000, 0.0000), Ba at (0.3333, 0.6667, 0.2500) and Cr at (0.3333, 0.6667, 0.7500).

The value obtained for the final energy is -3.89 eV per atom. Its calculated volume is 257.14 Å³/cell. The polymorph energy (0 for the lowest one) is 63 meV per atom. The calculation puts the formation energy from the elements at 1.79 eV per formula unit.

---

Record 2
Computed, not measured: a relaxed structure of BaCr at the PBE level of DFT.

The structure belongs to space group Cm (No. 8); the cell edges are 12.567, 4.178 and 8.044 Å and the angles 90.00°, 97.84° and 90.00°. The asymmetric unit holds Ba at (0.000, 0.000, 0.000), Ba at (0.057, 0.000, 0.572), Ba at (0.287, 0.000, 0.273), Cr at (0.223, 0.500, 0.864), Cr at (0.284, 0.500, 0.650) and Cr at (0.307, 0.000, 0.793).

The value obtained for the final energy is -5.07 eV per atom. Its calculated volume is 418.40 Å³/cell. The calculation puts the formation energy from the elements at 1.41 eV per formula unit.